(1)
Crystalline CdH6SeN2 at its relaxed geometry. Source: Alexandria via LeMat-Bulk, functional PBE.

Cell and atoms, written as CIF:
```
data_CdH6SeN2
_chemical_formula_sum 'Cd4 H24 Se4 N8'
_cell_length_a 10.7317
_cell_length_b 7.3678
_cell_length_c 6.1792
_cell_angle_alpha 90.00
_cell_angle_beta 91.45
_cell_angle_gamma 90.00
_symmetry_space_group_name_H-M 'C 1 2/c 1'
_symmetry_Int_Tables_number 15
loop_
_symmetry_equiv_pos_as_xyz
'x,y,z'
'-x,-y,-z'
'-x,y,-z+1/2'
'x,-y,z+1/2'
'x+1/2,y+1/2,z'
'-x+1/2,-y+1/2,-z'
'-x+1/2,y+1/2,-z+1/2'
'x+1/2,-y+1/2,z+1/2'
loop_
_atom_site_label
_atom_site_type_symbol
_atom_site_fract_x
_atom_site_fract_y
_atom_site_fract_z
_atom_site_occupancy
Cd1 Cd 0.0000 0.1552 0.2500 1
H1 H 0.1293 0.4965 0.2265 1
H2 H 0.1641 0.3520 0.0342 1
H3 H 0.2489 0.3511 0.2629 1
Se1 Se 0.0000 0.1954 0.7500 1
N1 N 0.1597 0.3660 0.1990 1
```

Output
For the density of states at the Fermi level, the calculation gives 0.000 states/eV/f.u. The total energy is -4.49 eV/atom.

(2)
Crystalline BaMgCu4 at its relaxed geometry. Source: Alexandria via LeMat-Bulk, functional PBE.

Cell and atoms, written as CIF:
```
data_BaMgCu4
_chemical_formula_sum 'Ba4 Mg4 Cu16'
_cell_length_a 7.5841
_cell_length_b 7.5841
_cell_length_c 7.5841
_cell_angle_alpha 90.00
_cell_angle_beta 90.00
_cell_angle_gamma 90.00
_symmetry_space_group_name_H-M 'F -4 3 m'
_symmetry_Int_Tables_number 216
_symmetry_space_group_name_Hall 'F -4 2 3'
loop_
_atom_site_label
_atom_site_type_symbol
_atom_site_fract_x
_atom_site_fract_y
_atom_site_fract_z
_atom_site_occupancy
Ba1 Ba 0.0000 0.0000 0.0000 1
Mg1 Mg 0.2500 0.2500 0.2500 1
Cu1 Cu 0.1208 0.1208 0.6208 1
```

Output
For the density of states at the Fermi level, the calculation gives 5.702 states/eV/f.u. The total energy is -3.25 eV/atom.

(3)
Crystalline Mn3P5 at its relaxed geometry. Source: Alexandria via LeMat-Bulk, functional PBE.

Cell and atoms, written as CIF:
```
data_Mn3P5
_chemical_formula_sum 'Mn6 P10'
_cell_length_a 5.7909
_cell_length_b 8.3248
_cell_length_c 3.9320
_cell_angle_alpha 90.00
_cell_angle_beta 90.00
_cell_angle_gamma 90.00
_symmetry_space_group_name_H-M 'C m m m'
_symmetry_Int_Tables_number 65
_symmetry_space_group_name_Hall '-C 2 2'
loop_
_atom_site_label
_atom_site_type_symbol
_atom_site_fract_x
_atom_site_fract_y
_atom_site_fract_z
_atom_site_occupancy
Mn1 Mn 0.0000 0.0000 0.0000 1
Mn2 Mn 0.0000 0.2350 0.5000 1
P1 P 0.0000 0.5000 0.0000 1
P2 P 0.2197 0.0000 0.5000 1
P3 P 0.2500 0.2500 0.0000 1
```

Output
For the density of states at the Fermi level, the calculation gives 7.006 states/eV/f.u. The total energy is -6.69 eV/atom.

(4)
Crystalline YTmTh4 at its relaxed geometry. Source: Alexandria via LeMat-Bulk, functional PBE.

Cell and atoms, written as CIF:
```
data_YTmTh4
_chemical_formula_sum 'Y4 Tm4 Th16'
_cell_length_a 6.2610
_cell_length_b 6.2610
_cell_length_c 23.7233
_cell_angle_alpha 90.00
_cell_angle_beta 90.00
_cell_angle_gamma 90.00
_symmetry_space_group_name_H-M 'I 41/a m d'
_symmetry_Int_Tables_number 141
loop_
_symmetry_equiv_pos_as_xyz
'x,y,z'
'-x,-y,-z'
'-y+1/4,x+3/4,z+1/4'
'y+1/4,-x+3/4,-z+1/4'
'-x+1/2,-y,z+1/2'
'x+1/2,y,-z+1/2'
'y+1/4,-x+1/4,z+3/4'
'-y+1/4,x+1/4,-z+3/4'
'x,-y,-z'
'-x,y,z'
'-y+1/4,-x+1/4,-z+3/4'
'y+1/4,x+1/4,z+3/4'
'-x+1/2,y,-z+1/2'
'x+1/2,-y,z+1/2'
'y+1/4,x+3/4,-z+1/4'
'-y+1/4,-x+3/4,z+1/4'
'x+1/2,y+1/2,z+1/2'
'-x+1/2,-y+1/2,-z+1/2'
'-y+3/4,x+1/4,z+3/4'
'y+3/4,-x+1/4,-z+3/4'
'-x,-y+1/2,z'
'x,y+1/2,-z'
'y+3/4,-x+3/4,z+1/4'
'-y+3/4,x+3/4,-z+1/4'
'x+1/2,-y+1/2,-z+1/2'
'-x+1/2,y+1/2,z+1/2'
'-y+3/4,-x+3/4,-z+1/4'
'y+3/4,x+3/4,z+1/4'
'-x,y+1/2,-z'
'x,-y+1/2,z'
'y+3/4,x+1/4,-z+3/4'
'-y+3/4,-x+1/4,z+3/4'
loop_
_atom_site_label
_atom_site_type_symbol
_atom_site_fract_x
_atom_site_fract_y
_atom_site_fract_z
_atom_site_occupancy
Y1 Y 0.0000 0.2500 0.3750 1
Tm1 Tm 0.0000 0.2500 0.8750 1
Th1 Th 0.0000 0.0002 0.2481 1
```

Output
For the density of states at the Fermi level, the calculation gives 14.598 states/eV/f.u. The total energy is -5.80 eV/atom.

(5)
Crystalline Ca2SiSe at its relaxed geometry. Source: Alexandria via LeMat-Bulk, functional PBE.

Cell and atoms, written as CIF:
```
data_Ca2SiSe
_chemical_formula_sum 'Ca4 Si2 Se2'
_cell_length_a 4.9842
_cell_length_b 5.0034
_cell_length_c 7.7211
_cell_angle_alpha 90.00
_cell_angle_beta 90.00
_cell_angle_gamma 90.00
_symmetry_space_group_name_H-M 'C m m m'
_symmetry_Int_Tables_number 65
_symmetry_space_group_name_Hall '-C 2 2'
loop_
_atom_site_label
_atom_site_type_symbol
_atom_site_fract_x
_atom_site_fract_y
_atom_site_fract_z
_atom_site_occupancy
Ca1 Ca 0.0000 0.0000 0.2340 1
Si1 Si 0.0000 0.5000 0.5000 1
Se1 Se 0.0000 0.5000 0.0000 1
```

Output
For the density of states at the Fermi level, the calculation gives 1.611 states/eV/f.u. The total energy is -4.13 eV/atom.

(6)
Crystalline Tm2Zn5Ga3 at its relaxed geometry. Source: Alexandria via LeMat-Bulk, functional PBE.

Cell and atoms, written as CIF:
```
data_Tm2Zn5Ga3
_chemical_formula_sum 'Tm2 Zn5 Ga3'
_cell_length_a 4.0260
_cell_length_b 4.0260
_cell_length_c 11.1511
_cell_angle_alpha 90.00
_cell_angle_beta 90.00
_cell_angle_gamma 90.00
_symmetry_space_group_name_H-M 'P -4 m 2'
_symmetry_Int_Tables_number 115
loop_
_symmetry_equiv_pos_as_xyz
'x,y,z'
'y,-x,-z'
'-x,-y,z'
'-y,x,-z'
'-x,y,z'
'-y,-x,-z'
'x,-y,z'
'y,x,-z'
loop_
_atom_site_label
_atom_site_type_symbol
_atom_site_fract_x
_atom_site_fract_y
_atom_site_fract_z
_atom_site_occupancy
Tm1 Tm 0.0000 0.5000 0.2487 1
Zn1 Zn 0.0000 0.0000 0.5000 1
Zn2 Zn 0.0000 0.5000 0.6391 1
Zn3 Zn 0.5000 0.5000 0.0000 1
Zn4 Zn 0.5000 0.5000 0.5000 1
Ga1 Ga 0.0000 0.0000 0.0000 1
Ga2 Ga 0.0000 0.5000 0.8545 1
```

Output
For the density of states at the Fermi level, the calculation gives 2.796 states/eV/f.u. The total energy is -2.77 eV/atom.

(7)
Crystalline ZrPRh at its relaxed geometry. Source: Alexandria via LeMat-Bulk, functional PBE.

Cell and atoms, written as CIF:
```
data_ZrPRh
_chemical_formula_sum 'Zr6 P6 Rh6'
_cell_length_a 6.5193
_cell_length_b 3.8405
_cell_length_c 11.1868
_cell_angle_alpha 90.00
_cell_angle_beta 90.39
_cell_angle_gamma 90.00
_symmetry_space_group_name_H-M 'P 1 21/m 1'
_symmetry_Int_Tables_number 11
loop_
_symmetry_equiv_pos_as_xyz
'x,y,z'
'-x,-y,-z'
'-x,y+1/2,-z'
'x,-y+1/2,z'
loop_
_atom_site_label
_atom_site_type_symbol
_atom_site_fract_x
_atom_site_fract_y
_atom_site_fract_z
_atom_site_occupancy
Zr1 Zr 0.0289 0.2500 0.2102 1
Zr2 Zr 0.3454 0.7500 0.5790 1
Zr3 Zr 0.4692 0.7500 0.8798 1
P1 P 0.2394 0.2500 0.4170 1
P2 P 0.2410 0.7500 0.0829 1
P3 P 0.2659 0.2500 0.7502 1
Rh1 Rh 0.0107 0.2500 0.5916 1
Rh2 Rh 0.1473 0.2500 0.9591 1
Rh3 Rh 0.3695 0.7500 0.2939 1
```

Output
For the density of states at the Fermi level, the calculation gives 1.069 states/eV/f.u. The total energy is -8.37 eV/atom.

(8)
Crystalline Re3Os5 at its relaxed geometry. Source: Alexandria via LeMat-Bulk, functional PBE.

Cell and atoms, written as CIF:
```
data_Re3Os5
_chemical_formula_sum 'Re3 Os5'
_cell_length_a 2.7405
_cell_length_b 2.7405
_cell_length_c 15.5410
_cell_angle_alpha 90.00
_cell_angle_beta 90.00
_cell_angle_gamma 90.00
_symmetry_space_group_name_H-M 'P 4/m m m'
_symmetry_Int_Tables_number 123
_symmetry_space_group_name_Hall '-P 4 2'
loop_
_atom_site_label
_atom_site_type_symbol
_atom_site_fract_x
_atom_site_fract_y
_atom_site_fract_z
_atom_site_occupancy
Re1 Re 0.0000 0.0000 0.0000 1
Re2 Re 0.5000 0.5000 0.1276 1
Os1 Os 0.0000 0.0000 0.2530 1
Os2 Os 0.0000 0.0000 0.5000 1
Os3 Os 0.5000 0.5000 0.3766 1
```

Output
For the density of states at the Fermi level, the calculation gives 6.673 states/eV/f.u. The total energy is -11.58 eV/atom.

(9)
Crystalline LiGdZr at its relaxed geometry. Source: Alexandria via LeMat-Bulk, functional PBE.

Cell and atoms, written as CIF:
```
data_LiGdZr
_chemical_formula_sum 'Li1 Gd1 Zr1'
_cell_length_a 3.2956
_cell_length_b 3.2956
_cell_length_c 8.1137
_cell_angle_alpha 90.00
_cell_angle_beta 90.00
_cell_angle_gamma 120.00
_symmetry_space_group_name_H-M 'P 3 m 1'
_symmetry_Int_Tables_number 156
loop_
_symmetry_equiv_pos_as_xyz
'x,y,z'
'-y,x-y,z'
'-x+y,-x,z'
'-y,-x,z'
'-x+y,y,z'
'x,x-y,z'
loop_
_atom_site_label
_atom_site_type_symbol
_atom_site_fract_x
_atom_site_fract_y
_atom_site_fract_z
_atom_site_occupancy
Li1 Li 0.0000 0.0000 0.0000 1
Gd1 Gd 0.3333 0.6667 0.6429 1
Zr1 Zr 0.6667 0.3333 0.3196 1
```

Output
For the density of states at the Fermi level, the calculation gives 3.068 states/eV/f.u. The total energy is -7.99 eV/atom.

(10)
Crystalline RuPt2Cl at its relaxed geometry. Source: Alexandria via LeMat-Bulk, functional PBE.

Cell and atoms, written as CIF:
```
data_RuPt2Cl
_chemical_formula_sum 'Ru2 Pt4 Cl2'
_cell_length_a 3.9054
_cell_length_b 3.9054
_cell_length_c 8.3525
_cell_angle_alpha 90.00
_cell_angle_beta 90.00
_cell_angle_gamma 90.00
_symmetry_space_group_name_H-M 'I 4/m m m'
_symmetry_Int_Tables_number 139
_symmetry_space_group_name_Hall '-I 4 2'
loop_
_atom_site_label
_atom_site_type_symbol
_atom_site_fract_x
_atom_site_fract_y
_atom_site_fract_z
_atom_site_occupancy
Ru1 Ru 0.0000 0.0000 0.0000 1
Pt1 Pt 0.0000 0.5000 0.2500 1
Cl1 Cl 0.0000 0.0000 0.5000 1
```

Output
For the density of states at the Fermi level, the calculation gives 5.671 states/eV/f.u. The total energy is -4.99 eV/atom.

(11)
Crystalline MgNbZn2 at its relaxed geometry. Source: Alexandria via LeMat-Bulk, functional PBE.

Cell and atoms, written as CIF:
```
data_MgNbZn2
_chemical_formula_sum 'Mg4 Nb4 Zn8'
_cell_length_a 7.1202
_cell_length_b 7.1202
_cell_length_c 5.7727
_cell_angle_alpha 90.00
_cell_angle_beta 90.00
_cell_angle_gamma 90.00
_symmetry_space_group_name_H-M 'I -4 2 d'
_symmetry_Int_Tables_number 122
_symmetry_space_group_name_Hall 'I -4 2bw'
loop_
_atom_site_label
_atom_site_type_symbol
_atom_site_fract_x
_atom_site_fract_y
_atom_site_fract_z
_atom_site_occupancy
Mg1 Mg 0.0000 0.0000 0.0000 1
Nb1 Nb 0.0000 0.0000 0.5000 1
Zn1 Zn 0.2461 0.2500 0.1250 1
```

Output
For the density of states at the Fermi level, the calculation gives 5.726 states/eV/f.u. The total energy is -3.16 eV/atom.